A geometry-optimized Cd2FeSi structure. Source: Alexandria, functional PBE.

## Properties
size of the total moment: 0.577 μB/f.u.
density: 7.23 Mg/m³
Fermi-level density of states: 1.44 states/eV per cell
DFT total energy: -3.9468 eV per atom

Cell: 7.343 7.343 3.749 Å, 75.20 75.20 21.30°
Last column: magnetic moment on the atom in μB.
Atoms (fractional coordinates):
Si  0.750  0.750  0.750  -0.04
Fe  0.250  0.250  0.250  0.71
Cd  0.575  0.575  0.426  -0.01
Cd  0.925  0.925  0.074  -0.01